The following is a DFT calculation (PBE-GGA) of a geometry-optimized HfSc2Au structure.

a = 7.863 Å, b = 7.863 Å, c = 5.900 Å
α = 90.00°, β = 90.00°, γ = 90.00°
Space group I-42d (No. 122)
One atom of each set of equivalent atoms:
Hf (0.000, 0.000, 0.000) x4
Sc (0.208, 0.250, 0.625) x8
Au (0.000, 0.000, 0.500) x4

Calculated values
Calculated total energy, eV/cell: -104.0
Total magnetization, μB/f.u.: 0.0
Formation energy from the elements, meV/atom: -28
Calculated density, g cm⁻³: 8.474
Distance to the lowest polymorph of the same formula, meV/atom: 346


The following is a DFT calculation (PBE-GGA) of a geometry-optimized HgGeMo2 structure.

a = 6.434 Å, b = 6.434 Å, c = 6.434 Å
α = 90.00°, β = 90.00°, γ = 90.00°
Space group Fm-3m (No. 225)
One atom of each set of equivalent atoms:
Hg (0.000, 0.000, 0.000) x4
Ge (0.000, 0.000, 0.500) x4
Mo (0.250, 0.250, 0.250) x8

Calculated values
Calculated total energy, eV/cell: -97.9
Total magnetization, μB/f.u.: 0.0
Formation energy from the elements, meV/atom: 529
Calculated density, g cm⁻³: 11.596
Distance to the lowest polymorph of the same formula, meV/atom: 0


The following is a DFT calculation (PBE-GGA) of a geometry-optimized ZrMo2Se structure.

a = 3.213 Å, b = 4.774 Å, c = 4.706 Å
α = 90.00°, β = 91.68°, γ = 90.00°
Space group P2/m (No. 10)
One atom of each set of equivalent atoms:
Zr (0.000, 0.000, 0.000) x1
Mo (0.338, 0.500, 0.753) x2
Se (0.500, 0.000, 0.500) x1

Calculated values
Formation energy (no corrections), meV per atom: 24.9
Calculated total energy, eV/cell: -33.6
Total magnetization, μB/f.u.: 0.0
Calculated density, g cm⁻³: 8.332